Version 1
First-principles (GGA-PBE) data for a relaxed structure of PdAu2Br, as listed in Alexandria.

Computed properties:
- density of states at the Fermi level (states/eV per cell) = 2.14
- symmetry = No. 122
- total magnetization (μB per cell) = 0.0

Structure (CIF):
```
data_PdAu2Br
_cell_length_a 7.920
_cell_length_b 7.920
_cell_length_c 6.205
_cell_angle_alpha 50.34
_cell_angle_beta 50.34
_cell_angle_gamma 90.00
_space_group_name_H-M_alt 'P 1'
_space_group_IT_number 1
loop_
_space_group_symop_operation_xyz
'x,y,z'
loop_
_atom_site_label
_atom_site_fract_x
_atom_site_fract_y
_atom_site_fract_z
_atom_site_occupancy
Au1 0.104 0.625 0.250 1
Au2 0.375 0.354 0.750 1
Br1 0.500 0.500 0.000 1
Au3 0.875 0.896 0.750 1
Br2 0.250 0.750 0.500 1
Pd1 0.750 0.250 0.500 1
Au4 0.646 0.125 0.250 1
Pd2 0.000 0.000 0.000 1
```

***

Version 2
First-principles (GGA-PBE) data for a relaxed structure of PdAu2Br, as listed in Alexandria.

Computed properties:
- density of states at the Fermi level (states/eV per cell) = 1.37
- symmetry = No. 225
- total magnetization (μB per cell) = 0.0

Structure (CIF):
```
data_PdAu2Br
_cell_length_a 4.770
_cell_length_b 4.770
_cell_length_c 4.770
_cell_angle_alpha 60.00
_cell_angle_beta 60.00
_cell_angle_gamma 60.00
_space_group_name_H-M_alt 'P 1'
_space_group_IT_number 1
loop_
_space_group_symop_operation_xyz
'x,y,z'
loop_
_atom_site_label
_atom_site_fract_x
_atom_site_fract_y
_atom_site_fract_z
_atom_site_occupancy
Pd1 0.500 0.500 0.500 1
Au1 0.750 0.750 0.750 1
Br1 0.000 0.000 0.000 1
Au2 0.250 0.250 0.250 1
```

***

Short version: version 1 is the most stable of them.

***

Version 1
First-principles (GGA-PBE) data for a relaxed structure of Pd2AuBr, as listed in Alexandria.

Computed properties:
- density of states at the Fermi level (states/eV per cell) = 4.13
- symmetry = No. 122
- total magnetization (μB per cell) = 0.0

Structure (CIF):
```
data_Pd2AuBr
_cell_length_a 7.352
_cell_length_b 7.352
_cell_length_c 5.924
_cell_angle_alpha 51.64
_cell_angle_beta 51.64
_cell_angle_gamma 90.00
_space_group_name_H-M_alt 'P 1'
_space_group_IT_number 1
loop_
_space_group_symop_operation_xyz
'x,y,z'
loop_
_atom_site_label
_atom_site_fract_x
_atom_site_fract_y
_atom_site_fract_z
_atom_site_occupancy
Pd1 0.875 0.866 0.750 1
Br1 0.500 0.500 0.000 1
Pd2 0.616 0.125 0.250 1
Pd3 0.375 0.384 0.750 1
Au1 0.750 0.250 0.500 1
Au2 0.000 0.000 0.000 1
Br2 0.250 0.750 0.500 1
Pd4 0.134 0.625 0.250 1
```

***

Version 2
First-principles (GGA-PBE) data for a relaxed structure of Pd2AuBr, as listed in Alexandria.

Computed properties:
- density of states at the Fermi level (states/eV per cell) = 4.02
- symmetry = No. 225
- total magnetization (μB per cell) = 0.0

Structure (CIF):
```
data_Pd2AuBr
_cell_length_a 4.664
_cell_length_b 4.664
_cell_length_c 4.664
_cell_angle_alpha 60.00
_cell_angle_beta 60.00
_cell_angle_gamma 60.00
_space_group_name_H-M_alt 'P 1'
_space_group_IT_number 1
loop_
_space_group_symop_operation_xyz
'x,y,z'
loop_
_atom_site_label
_atom_site_fract_x
_atom_site_fract_y
_atom_site_fract_z
_atom_site_occupancy
Pd1 0.250 0.250 0.250 1
Pd2 0.750 0.750 0.750 1
Au1 0.500 0.500 0.500 1
Br1 0.000 0.000 0.000 1
```

***

Short version: version 2 is the most stable of them.

***

Version 1
First-principles (GGA-PBE) data for a relaxed structure of Pm2AuBr, as listed in Alexandria.

Computed properties:
- density of states at the Fermi level (states/eV per cell) = 2.55
- symmetry = No. 166
- total magnetization (μB per cell) = 0.0

Structure (CIF):
```
data_Pm2AuBr
_cell_length_a 4.269
_cell_length_b 4.269
_cell_length_c 7.801
_cell_angle_alpha 74.12
_cell_angle_beta 74.12
_cell_angle_gamma 60.00
_space_group_name_H-M_alt 'P 1'
_space_group_IT_number 1
loop_
_space_group_symop_operation_xyz
'x,y,z'
loop_
_atom_site_label
_atom_site_fract_x
_atom_site_fract_y
_atom_site_fract_z
_atom_site_occupancy
Pm1 0.741 0.741 0.778 1
Pm2 0.259 0.259 0.222 1
Au1 0.000 0.000 0.000 1
Br1 0.500 0.500 0.500 1
```

***

Version 2
First-principles (GGA-PBE) data for a relaxed structure of Pm2AuBr, as listed in Alexandria.

Computed properties:
- density of states at the Fermi level (states/eV per cell) = 1.86
- symmetry = No. 160
- total magnetization (μB per cell) = 0.0

Structure (CIF):
```
data_Pm2AuBr
_cell_length_a 4.139
_cell_length_b 4.139
_cell_length_c 8.346
_cell_angle_alpha 75.64
_cell_angle_beta 75.64
_cell_angle_gamma 60.00
_space_group_name_H-M_alt 'P 1'
_space_group_IT_number 1
loop_
_space_group_symop_operation_xyz
'x,y,z'
loop_
_atom_site_label
_atom_site_fract_x
_atom_site_fract_y
_atom_site_fract_z
_atom_site_occupancy
Pm1 0.072 0.072 0.784 1
Br1 0.498 0.498 0.505 1
Pm2 0.262 0.262 0.215 1
Au1 0.668 0.668 0.997 1
```

***

Short version: version 1 is the most stable of them.

***

Version 1
First-principles (GGA-PBE) data for a relaxed structure of PrAuBr, as listed in Alexandria.

Computed properties:
- density of states at the Fermi level (states/eV per cell) = 1.47
- symmetry = No. 12
- total magnetization (μB per cell) = 0.0

Structure (CIF):
```
data_PrAuBr
_cell_length_a 4.725
_cell_length_b 4.725
_cell_length_c 10.257
_cell_angle_alpha 88.70
_cell_angle_beta 88.70
_cell_angle_gamma 60.18
_space_group_name_H-M_alt 'P 1'
_space_group_IT_number 1
loop_
_space_group_symop_operation_xyz
'x,y,z'
loop_
_atom_site_label
_atom_site_fract_x
_atom_site_fract_y
_atom_site_fract_z
_atom_site_occupancy
Au1 0.333 0.333 0.497 1
Au2 0.667 0.667 0.503 1
Br1 0.678 0.678 0.171 1
Br2 0.322 0.322 0.829 1
Pr1 0.993 0.993 0.669 1
Pr2 0.007 0.007 0.331 1
```

***

Version 2
First-principles (GGA-PBE) data for a relaxed structure of PrAuBr, as listed in Alexandria.

Computed properties:
- density of states at the Fermi level (states/eV per cell) = 5.93
- symmetry = No. 166
- total magnetization (μB per cell) = 0.0

Structure (CIF):
```
data_PrAuBr
_cell_length_a 4.372
_cell_length_b 4.372
_cell_length_c 11.965
_cell_angle_alpha 79.47
_cell_angle_beta 79.47
_cell_angle_gamma 60.00
_space_group_name_H-M_alt 'P 1'
_space_group_IT_number 1
loop_
_space_group_symop_operation_xyz
'x,y,z'
loop_
_atom_site_label
_atom_site_fract_x
_atom_site_fract_y
_atom_site_fract_z
_atom_site_occupancy
Br1 0.718 0.718 0.847 1
Au1 0.149 0.149 0.554 1
Pr1 0.435 0.435 0.696 1
Pr2 0.565 0.565 0.304 1
Br2 0.282 0.282 0.153 1
Au2 0.851 0.851 0.446 1
```

***

Short version: version 1 is the most stable of them.

***

Version 1
First-principles (GGA-PBE) data for a relaxed structure of PtAu2Br, as listed in Alexandria.

Computed properties:
- density of states at the Fermi level (states/eV per cell) = 3.26
- symmetry = No. 99
- total magnetization (μB per cell) = 0.0

Structure (CIF):
```
data_PtAu2Br
_cell_length_a 3.360
_cell_length_b 3.360
_cell_length_c 6.982
_cell_angle_alpha 90.00
_cell_angle_beta 90.00
_cell_angle_gamma 90.00
_space_group_name_H-M_alt 'P 1'
_space_group_IT_number 1
loop_
_space_group_symop_operation_xyz
'x,y,z'
loop_
_atom_site_label
_atom_site_fract_x
_atom_site_fract_y
_atom_site_fract_z
_atom_site_occupancy
Pt1 0.500 0.500 0.781 1
Au1 0.000 0.000 0.988 1
Au2 0.500 0.500 0.212 1
Br1 0.000 0.000 0.519 1
```

***

Version 2
First-principles (GGA-PBE) data for a relaxed structure of PtAu2Br, as listed in Alexandria.

Computed properties:
- density of states at the Fermi level (states/eV per cell) = 2.50
- symmetry = No. 160
- total magnetization (μB per cell) = 0.0

Structure (CIF):
```
data_PtAu2Br
_cell_length_a 7.742
_cell_length_b 7.742
_cell_length_c 7.742
_cell_angle_alpha 26.75
_cell_angle_beta 26.75
_cell_angle_gamma 26.75
_space_group_name_H-M_alt 'P 1'
_space_group_IT_number 1
loop_
_space_group_symop_operation_xyz
'x,y,z'
loop_
_atom_site_label
_atom_site_fract_x
_atom_site_fract_y
_atom_site_fract_z
_atom_site_occupancy
Pt1 0.748 0.748 0.748 1
Br1 0.490 0.490 0.490 1
Au1 0.005 0.005 0.005 1
Au2 0.257 0.257 0.257 1
```

***

Version 3
First-principles (GGA-PBE) data for a relaxed structure of PtAu2Br, as listed in Alexandria.

Computed properties:
- density of states at the Fermi level (states/eV per cell) = 5.55
- symmetry = No. 122
- total magnetization (μB per cell) = 0.0

Structure (CIF):
```
data_PtAu2Br
_cell_length_a 7.887
_cell_length_b 7.887
_cell_length_c 6.191
_cell_angle_alpha 50.43
_cell_angle_beta 50.43
_cell_angle_gamma 90.00
_space_group_name_H-M_alt 'P 1'
_space_group_IT_number 1
loop_
_space_group_symop_operation_xyz
'x,y,z'
loop_
_atom_site_label
_atom_site_fract_x
_atom_site_fract_y
_atom_site_fract_z
_atom_site_occupancy
Br1 0.250 0.750 0.500 1
Pt1 0.000 0.000 0.000 1
Br2 0.500 0.500 0.000 1
Au1 0.875 0.901 0.750 1
Pt2 0.750 0.250 0.500 1
Au2 0.099 0.625 0.250 1
Au3 0.651 0.125 0.250 1
Au4 0.375 0.349 0.750 1
```

***

Short version: version 2 is the most stable of them.

***

Version 1
First-principles (GGA-PBE) data for a relaxed structure of PtAu2Br, as listed in Alexandria.

Computed properties:
- density of states at the Fermi level (states/eV per cell) = 3.34
- symmetry = No. 47
- total magnetization (μB per cell) = 0.0

Structure (CIF):
```
data_PtAu2Br
_cell_length_a 3.319
_cell_length_b 3.308
_cell_length_c 7.232
_cell_angle_alpha 90.00
_cell_angle_beta 90.00
_cell_angle_gamma 90.00
_space_group_name_H-M_alt 'P 1'
_space_group_IT_number 1
loop_
_space_group_symop_operation_xyz
'x,y,z'
loop_
_atom_site_label
_atom_site_fract_x
_atom_site_fract_y
_atom_site_fract_z
_atom_site_occupancy
Au1 0.000 0.000 0.537 1
Pt1 0.500 0.500 0.750 1
Au2 0.000 0.000 0.963 1
Br1 0.500 0.500 0.250 1
```

***

Version 2
First-principles (GGA-PBE) data for a relaxed structure of PtAu2Br, as listed in Alexandria.

Computed properties:
- density of states at the Fermi level (states/eV per cell) = 3.49
- symmetry = No. 216
- total magnetization (μB per cell) = 0.0

Structure (CIF):
```
data_PtAu2Br
_cell_length_a 4.745
_cell_length_b 4.745
_cell_length_c 4.745
_cell_angle_alpha 60.00
_cell_angle_beta 60.00
_cell_angle_gamma 60.00
_space_group_name_H-M_alt 'P 1'
_space_group_IT_number 1
loop_
_space_group_symop_operation_xyz
'x,y,z'
loop_
_atom_site_label
_atom_site_fract_x
_atom_site_fract_y
_atom_site_fract_z
_atom_site_occupancy
Au1 0.250 0.250 0.250 1
Pt1 0.750 0.750 0.750 1
Br1 0.500 0.500 0.500 1
Au2 0.000 0.000 0.000 1
```

***

Short version: version 1 is the most stable of them.